1.
# Nd4TcBr5

Crystalline Nd4TcBr5 at its relaxed geometry (PBE-GGA, Alexandria via LeMat-Bulk).

Calculated values
Raw formation energy (meV per atom): -1285
Spin magnetization (Bohr magnetons per cell): 0.00
DOS(E_F) (states/eV/cell): 8.8

abc: 18.824 3.962 9.535
angles: 90.00 105.65 90.00
Space group C2/m (No. 12)
Asymmetric unit:
Nd1 0.003 0.000 0.238 [4 per cell]
Nd2 0.144 0.500 0.077 [4 per cell]
Tc1 0.000 0.500 0.000 [2 per cell]
Br1 0.000 0.500 0.500 [2 per cell]
Br2 0.169 0.000 0.325 [4 per cell]
Br3 0.169 0.000 0.849 [4 per cell]

=====

2.
# Se2S3Cl4

Crystalline Se2S3Cl4 at its relaxed geometry (PBE-GGA, Alexandria via LeMat-Bulk).

Calculated values
Raw formation energy (meV per atom): -72
Spin magnetization (Bohr magnetons per cell): 0.00

abc: 7.501 16.382 10.838
angles: 90.00 106.14 90.00
Space group C2/c (No. 15)
Asymmetric unit:
Se1 0.130 0.128 0.413 [8 per cell]
S1 0.000 0.046 0.250 [4 per cell]
S2 0.097 0.489 0.963 [8 per cell]
Cl1 0.123 0.327 0.645 [8 per cell]
Cl2 0.134 0.104 0.956 [8 per cell]